Entry 1:
Material: Y5Ta
Method: DFT, GGA-PBEsol
State: relaxed

Cell: 5.9878 5.9878 5.3044 Å, 90.00 90.00 120.00°
Space group P-62m (No. 189)
Unique sites:
1 Y 0.0000 0.3092 0.0000 x3
2 Y 0.3333 0.6667 0.5000 x2
3 Ta 0.0000 0.0000 0.5000 x1

Output
- E_form: 0.216 eV per atom

---

Entry 2:
Material: Y2Ta
Method: DFT, GGA-PBEsol
State: relaxed

Cell: 3.2310 3.2310 8.1912 Å, 90.00 90.00 120.00°
Space group P-3m1 (No. 164)
Unique sites:
1 Y 0.3333 0.6667 0.3057 x2
2 Ta 0.0000 0.0000 0.0000 x1

Output
- E_form: 0.404 eV per atom

---

Entry 3:
Material: Y5Ta
Method: DFT, GGA-PBEsol
State: relaxed

Cell: 5.419 3.383 18.030 Å, 90.00 90.00 90.00°
Space group Amm2 (No. 38)
Unique sites:
1 Y 0.000 0.000 0.000 x2
2 Y 0.000 0.000 0.306 x2
3 Y 0.500 0.000 0.101 x2
4 Y 0.500 0.000 0.426 x2
5 Y 0.500 0.000 0.755 x2
6 Ta 0.000 0.000 0.654 x2

Output
- E_form: 0.217 eV per atom

---

Entry 4:
Material: YTa3
Method: DFT, GGA-PBEsol
State: relaxed

Cell: 2.816 4.712 5.992 Å, 90.00 90.00 90.00°
Space group Pmmm (No. 47)
Unique sites:
1 Y 0.000 0.000 0.000 x1
2 Ta 0.000 0.000 0.500 x1
3 Ta 0.500 0.500 0.273 x2

Output
- E_form: 0.435 eV per atom

---

Entry 5:
Material: Y3Ta2
Method: DFT, GGA-PBEsol
State: relaxed

Cell: 4.9030 4.9030 6.3814 Å, 90.00 90.00 120.00°
Space group P-3m1 (No. 164)
Unique sites:
1 Y 0.0000 0.0000 0.0000 x1
2 Y 0.3333 0.6667 0.3564 x2
3 Ta 0.3333 0.6667 0.9069 x2

Output
- E_form: 0.583 eV per atom

---

Entry 6:
Material: YTa
Method: DFT, GGA-PBEsol
State: relaxed

Cell: 6.344 6.344 6.344 Å, 90.00 90.00 90.00°
Space group F-43m (No. 216)
Unique sites:
1 Y 0.000 0.000 0.000 x4
2 Ta 0.250 0.250 0.250 x4

Output
- E_form: 3.009 eV per atom
- Energy above the lowest structure with this stoichiometry: 2575.6 meV/atom

---

| no. | calculated volume (Å³/atom) | total moment (μB per formula unit) |
| --- | --- | --- |
| 1 | 27.451 | 0.0 |
| 2 | 24.684 | 0.0 |
| 3 | 27.542 | 0.0 |
| 4 | 19.878 | 0.0 |
| 5 | 26.570 | 0.0 |
| 6 | 31.911 | 1.3 |